[1]
An optimized crystal structure of LiCeH3, computed with PBE.

Its space group is Pm-3m (221). The calculation puts the density of states at the Fermi level at 6.92 states/eV per cell. As for the theoretical density: 4.94 g/cm³. As for the excess energy over the best structure of this formula in the dataset: 0.000 eV per atom.

Lattice parameters (Å, degrees): 3.695 3.695 3.695 90.00 90.00 90.00
Fractional positions:
Li1 0.000 0.000 0.000
H1 0.000 0.500 0.000
H2 0.000 0.000 0.500
H3 0.500 0.000 0.000
Ce1 0.500 0.500 0.500



[2]
An optimized crystal structure of CeS2I4, computed with PBE.

Its space group is P-1 (2). The calculation puts the density of states at the Fermi level at 5.48 states/eV per cell. As for the theoretical density: 3.64 g/cm³. The calculation puts the electronic total energy at -24.90 eV for the cell shown.

Lattice parameters (Å, degrees): 4.531 7.794 10.438 111.38 103.46 73.04
Fractional positions:
S1 0.815 0.587 0.530
S2 0.185 0.413 0.470
Ce1 0.000 0.000 0.000
I1 0.396 0.305 0.091
I2 0.170 0.960 0.284
I3 0.604 0.695 0.909
I4 0.830 0.040 0.716



[3]
An optimized crystal structure of Ti2GaPt4, computed with PBE.

Its space group is P2_1/m (11). The calculation puts the density of states at the Fermi level at 8.81 states/eV per cell. As for the theoretical density: 13.79 g/cm³. The calculation puts the electronic total energy at -96.08 eV for the cell shown.

Lattice parameters (Å, degrees): 6.321 5.257 7.426 90.00 112.58 90.00
Fractional positions:
Ti1 0.664 0.750 0.575
Ti2 0.775 0.750 0.022
Ti3 0.225 0.250 0.978
Ti4 0.336 0.250 0.425
Pt1 0.042 0.750 0.420
Pt2 0.600 0.005 0.257
Pt3 0.958 0.250 0.580
Pt4 0.400 0.995 0.743
Pt5 0.400 0.505 0.743
Pt6 0.600 0.495 0.257
Pt7 0.060 0.750 0.823
Pt8 0.940 0.250 0.177
Ga1 0.760 0.250 0.811
Ga2 0.240 0.750 0.189